No. 1
An optimized crystal structure of Pr6Co2Pt, computed with PBE.

a = 8.5498 Å, b = 8.5498 Å, c = 8.5498 Å
α = 110.53°, β = 109.35°, γ = 108.54°
Fractional coordinates of all 18 atoms:
Pr 0.0612 0.2455 0.8157
Pr 0.1764 0.2748 0.4512
Pr 0.1764 0.7252 0.9017
Pr 0.3281 0.0106 0.6825
Pr 0.3281 0.6456 0.3175
Pr 0.4298 0.2455 0.1843
Pr 0.5702 0.7545 0.8157
Pr 0.6719 0.3544 0.6825
Pr 0.6719 0.9894 0.3175
Pr 0.8236 0.2748 0.0983
Pr 0.8236 0.7252 0.5488
Pr 0.9388 0.7545 0.1843
Co 0.1125 0.6125 0.5000
Co 0.3275 0.0000 0.3275
Co 0.6725 0.0000 0.6725
Co 0.8875 0.3875 0.5000
Pt 0.0000 0.0000 0.0000
Pt 0.5000 0.5000 0.0000


No. 2
An optimized crystal structure of Pr5Co2Pt, computed with PBE.

a = 8.9615 Å, b = 8.9615 Å, c = 8.9615 Å
α = 130.28°, β = 130.28°, γ = 72.96°
Fractional coordinates of all 16 atoms:
Pr 0.0000 0.0000 0.0000
Pr 0.0365 0.5365 0.8523
Pr 0.1842 0.0365 0.5000
Pr 0.3158 0.8158 0.8523
Pr 0.4635 0.3158 0.5000
Pr 0.5000 0.5000 0.0000
Pr 0.5365 0.6842 0.5000
Pr 0.6842 0.1842 0.1477
Pr 0.8158 0.9635 0.5000
Pr 0.9635 0.4635 0.1477
Co 0.1103 0.3897 0.5000
Co 0.3897 0.8897 0.2794
Co 0.6103 0.1103 0.7206
Co 0.8897 0.6103 0.5000
Pt 0.2500 0.2500 0.0000
Pt 0.7500 0.7500 0.0000


No. 3
An optimized crystal structure of Pr3CoPt, computed with PBE.

a = 7.4425 Å, b = 3.9440 Å, c = 9.6677 Å
α = 90.00°, β = 103.77°, γ = 90.00°
Fractional coordinates of all 10 atoms:
Pr 0.1321 0.2500 0.2794
Pr 0.2745 0.2500 0.9402
Pr 0.3532 0.7500 0.6224
Pr 0.6468 0.2500 0.3776
Pr 0.7255 0.7500 0.0598
Pr 0.8679 0.7500 0.7206
Co 0.0340 0.2500 0.5573
Co 0.9660 0.7500 0.4427
Pt 0.3885 0.7500 0.1767
Pt 0.6115 0.2500 0.8233

The energy above the most stable polymorph in this dataset comes out at 0 meV/atom.


Quick rundown of calculated formation energy, same order as above: -0.258; -0.304; -0.459 eV per atom